# 1
LaPr6Ho5: relaxed, PBE.

E   -4.689 eV per atom

abc: 5.1760 10.2165 15.4679
angles: 90.00 90.00 90.00
Space group Immm (No. 71)
Symmetry-distinct sites (fractional):
La 0.0000 0.0000 0.0000
Pr 0.0000 0.2463 0.5000
Pr 0.0000 0.2521 0.1668
Ho 0.0000 0.0000 0.3323
Ho 0.0000 0.5000 0.0000
Ho 0.0000 0.5000 0.3319


# 2
La5Pr2Ho2: relaxed, PBE.

E   -4.757 eV per atom
Energy relative to the lowest polymorph listed for this composition   0.0 meV/atom

abc: 6.1901 6.8041 8.9026
angles: 80.12 70.83 65.70
Space group P-1 (No. 2)
Symmetry-distinct sites (fractional):
La 0.0000 0.0000 0.0000
La 0.2686 0.6738 0.6520
La 0.3771 0.8659 0.2438
Pr 0.2634 0.4179 0.1212
Ho 0.1791 0.2336 0.5536